# 1
{"formula": "Cs2AlHgF6", "functional": "PBE-GGA", "state": "relaxed", "lattice_angstrom": [[0.000, 4.533, 4.533], [4.533, 0.000, 4.533], [4.533, 4.533, 0.000]], "species": ["Cs", "Cs", "Al", "Hg", "F", "F", "F", "F", "F", "F"], "fractional_positions": [[0.250, 0.250, 0.250], [0.750, 0.750, 0.750], [0.000, 0.000, 0.000], [0.500, 0.500, 0.500], [0.204, 0.204, 0.796], [0.204, 0.796, 0.204], [0.204, 0.796, 0.796], [0.796, 0.204, 0.204], [0.796, 0.204, 0.796], [0.796, 0.796, 0.204]], "dos_at_fermi_per_ev_cell": 2.84, "e_form_raw_ev_per_atom": -2.726, "total_magnetization_mub_per_fu": 0.8}



# 2
{"formula": "Cs2AlI6F", "functional": "PBE-GGA", "state": "relaxed", "lattice_angstrom": [[-3.873, 3.873, 6.664], [3.873, -3.873, 6.664], [3.873, 3.873, -6.664]], "species": ["Cs", "Cs", "Al", "I", "I", "I", "I", "I", "I", "F"], "fractional_positions": [[0.250, 0.750, 0.500], [0.750, 0.250, 0.500], [0.000, 0.000, 0.000], [0.213, 0.213, 0.000], [0.252, 0.252, 0.505], [0.252, 0.748, 0.000], [0.748, 0.252, 0.000], [0.748, 0.748, 0.495], [0.787, 0.787, 0.000], [0.500, 0.500, 0.000]], "dos_at_fermi_per_ev_cell": 7.32, "e_form_raw_ev_per_atom": -0.881, "total_magnetization_mub_per_fu": 0.0}



# 3
{"formula": "Cs2AlIF", "functional": "PBE-GGA", "state": "relaxed", "lattice_angstrom": [[7.172, 0.000, 0.000], [0.000, 7.172, 0.000], [0.000, 0.000, 4.283]], "species": ["Cs", "Cs", "Al", "I", "F"], "fractional_positions": [[0.000, 0.500, 0.000], [0.500, 0.000, 0.000], [0.000, 0.000, 0.000], [0.500, 0.500, 0.500], [0.000, 0.000, 0.500]], "dos_at_fermi_per_ev_cell": 1.15, "e_form_raw_ev_per_atom": -1.067, "total_magnetization_mub_per_fu": 1.0}



# 4
{"formula": "CsAlInF6", "functional": "PBE-GGA", "state": "relaxed", "lattice_angstrom": [[2.876, -4.990, 0.000], [2.876, 4.990, 0.000], [-0.007, 0.000, 6.267]], "species": ["Cs", "Al", "In", "F", "F", "F", "F", "F", "F"], "fractional_positions": [[0.000, 0.000, 0.000], [0.333, 0.667, 0.500], [0.667, 0.333, 0.500], [0.061, 0.414, 0.330], [0.062, 0.647, 0.670], [0.353, 0.938, 0.330], [0.354, 0.415, 0.670], [0.585, 0.646, 0.330], [0.586, 0.939, 0.670]], "dos_at_fermi_per_ev_cell": 3.06, "e_form_raw_ev_per_atom": -2.897, "total_magnetization_mub_per_fu": 0.4}



# 5
{"formula": "CsAlIn2F6", "functional": "PBE-GGA", "state": "relaxed", "lattice_angstrom": [[5.963, 0.000, 0.000], [0.000, 7.456, 0.000], [-5.940, 0.000, 8.664]], "species": ["Cs", "Cs", "Al", "Al", "In", "In", "In", "In", "F", "F", "F", "F", "F", "F", "F", "F", "F", "F", "F", "F"], "fractional_positions": [[0.000, 0.000, 0.000], [0.000, 0.500, 0.500], [0.500, 0.000, 0.500], [0.500, 0.500, 0.000], [0.233, 0.003, 0.733], [0.233, 0.497, 0.233], [0.767, 0.503, 0.767], [0.767, 0.997, 0.267], [0.222, 0.624, 0.998], [0.222, 0.876, 0.498], [0.237, 0.145, 0.347], [0.237, 0.355, 0.847], [0.471, 0.649, 0.852], [0.471, 0.851, 0.352], [0.529, 0.149, 0.648], [0.529, 0.351, 0.148], [0.763, 0.645, 0.153], [0.763, 0.855, 0.653], [0.778, 0.124, 0.502], [0.778, 0.376, 0.002]], "dos_at_fermi_per_ev_cell": 0.00, "e_form_raw_ev_per_atom": -2.653, "total_magnetization_mub_per_fu": 0.0}



# 6
{"formula": "Cs2AlInF6", "functional": "PBE-GGA", "state": "relaxed", "lattice_angstrom": [[0.000, 4.575, 4.575], [4.575, 0.000, 4.575], [4.575, 4.575, 0.000]], "species": ["Cs", "Cs", "Al", "In", "F", "F", "F", "F", "F", "F"], "fractional_positions": [[0.250, 0.250, 0.250], [0.750, 0.750, 0.750], [0.000, 0.000, 0.000], [0.500, 0.500, 0.500], [0.202, 0.202, 0.798], [0.202, 0.798, 0.202], [0.202, 0.798, 0.798], [0.798, 0.202, 0.202], [0.798, 0.202, 0.798], [0.798, 0.798, 0.202]], "dos_at_fermi_per_ev_cell": 0.00, "e_form_raw_ev_per_atom": -2.920, "total_magnetization_mub_per_fu": 0.0}



# 7
{"formula": "Cs3K3AlF8", "functional": "PBE-GGA", "state": "relaxed", "lattice_angstrom": [[3.901, 2.252, 6.815], [-3.901, 2.252, 6.815], [0.000, -4.505, 6.815]], "species": ["Cs", "Cs", "Cs", "K", "K", "K", "Al", "F", "F", "F", "F", "F", "F", "F", "F"], "fractional_positions": [[0.000, 0.500, 0.500], [0.500, 0.000, 0.500], [0.500, 0.500, 0.000], [0.000, 0.000, 0.500], [0.000, 0.500, 0.000], [0.500, 0.000, 0.000], [0.500, 0.500, 0.500], [0.237, 0.237, 0.237], [0.326, 0.665, 0.665], [0.335, 0.335, 0.674], [0.335, 0.674, 0.335], [0.665, 0.326, 0.665], [0.665, 0.665, 0.326], [0.674, 0.335, 0.335], [0.763, 0.763, 0.763]], "dos_at_fermi_per_ev_cell": 2.03, "e_form_raw_ev_per_atom": -2.783, "total_magnetization_mub_per_fu": 0.6}



# 8
{"formula": "CsK2Al3F12", "functional": "PBE-GGA", "state": "relaxed", "lattice_angstrom": [[3.590, 2.072, 6.298], [-3.590, 2.072, 6.298], [0.000, -4.145, 6.298]], "species": ["Cs", "K", "K", "Al", "Al", "Al", "F", "F", "F", "F", "F", "F", "F", "F", "F", "F", "F", "F"], "fractional_positions": [[0.000, 0.000, 0.000], [0.366, 0.366, 0.366], [0.634, 0.634, 0.634], [0.000, 0.000, 0.500], [0.000, 0.500, 0.000], [0.500, 0.000, 0.000], [0.099, 0.724, 0.724], [0.121, 0.121, 0.531], [0.121, 0.531, 0.121], [0.276, 0.276, 0.901], [0.276, 0.901, 0.276], [0.469, 0.879, 0.879], [0.531, 0.121, 0.121], [0.724, 0.099, 0.724], [0.724, 0.724, 0.099], [0.879, 0.469, 0.879], [0.879, 0.879, 0.469], [0.901, 0.276, 0.276]], "dos_at_fermi_per_ev_cell": 0.00, "e_form_raw_ev_per_atom": -3.319, "total_magnetization_mub_per_fu": 0.0}



# 9
{"formula": "CsKAl2F8", "functional": "PBE-GGA", "state": "relaxed", "lattice_angstrom": [[2.939, 1.697, 7.841], [-2.939, 1.697, 7.841], [0.000, -3.394, 7.841]], "species": ["Cs", "K", "Al", "Al", "F", "F", "F", "F", "F", "F", "F", "F"], "fractional_positions": [[0.000, 0.000, 0.000], [0.500, 0.500, 0.500], [0.251, 0.251, 0.251], [0.749, 0.749, 0.749], [0.033, 0.797, 0.484], [0.203, 0.516, 0.967], [0.323, 0.323, 0.323], [0.484, 0.033, 0.797], [0.516, 0.967, 0.203], [0.677, 0.677, 0.677], [0.797, 0.484, 0.033], [0.967, 0.203, 0.516]], "dos_at_fermi_per_ev_cell": 0.00, "e_form_raw_ev_per_atom": -3.311, "total_magnetization_mub_per_fu": 0.3}



# 10
{"formula": "Cs2LaAlF6", "functional": "PBE-GGA", "state": "relaxed", "lattice_angstrom": [[-3.428, 3.428, 4.881], [3.428, -3.428, 4.881], [3.428, 3.428, -4.881]], "species": ["Cs", "Cs", "La", "Al", "F", "F", "F", "F", "F", "F"], "fractional_positions": [[0.250, 0.750, 0.500], [0.750, 0.250, 0.500], [0.000, 0.000, 0.000], [0.500, 0.500, 0.000], [0.238, 0.238, 0.000], [0.240, 0.240, 0.480], [0.240, 0.760, 0.000], [0.760, 0.240, 0.000], [0.760, 0.760, 0.520], [0.762, 0.762, 0.000]], "dos_at_fermi_per_ev_cell": 0.00, "e_form_raw_ev_per_atom": -2.969, "total_magnetization_mub_per_fu": 0.0}



# 11
{"formula": "Cs2LiAlF6", "functional": "PBE-GGA", "state": "relaxed", "lattice_angstrom": [[6.306, 0.000, 0.000], [-3.153, 5.461, 0.000], [0.000, 0.000, 5.081]], "species": ["Cs", "Cs", "Li", "Al", "F", "F", "F", "F", "F", "F"], "fractional_positions": [[0.333, 0.667, 0.234], [0.667, 0.333, 0.766], [0.000, 0.000, 0.000], [0.000, 0.000, 0.500], [0.134, 0.268, 0.719], [0.134, 0.866, 0.719], [0.268, 0.134, 0.281], [0.732, 0.866, 0.719], [0.866, 0.134, 0.281], [0.866, 0.732, 0.281]], "dos_at_fermi_per_ev_cell": 0.00, "e_form_raw_ev_per_atom": -3.196, "total_magnetization_mub_per_fu": 0.0}



# 12
{"formula": "Cs2LiAlF6", "functional": "PBE-GGA", "state": "relaxed", "lattice_angstrom": [[-2.853, 2.853, 5.007], [2.853, -2.853, 5.007], [2.853, 2.853, -5.007]], "species": ["Cs", "Cs", "Li", "Al", "F", "F", "F", "F", "F", "F"], "fractional_positions": [[0.250, 0.750, 0.500], [0.750, 0.250, 0.500], [0.000, 0.000, 0.000], [0.500, 0.500, 0.000], [0.266, 0.266, 0.532], [0.266, 0.734, 0.000], [0.319, 0.319, 0.000], [0.681, 0.681, 0.000], [0.734, 0.266, 0.000], [0.734, 0.734, 0.468]], "dos_at_fermi_per_ev_cell": 0.00, "e_form_raw_ev_per_atom": -3.128, "total_magnetization_mub_per_fu": 0.0}